Entry from the Alexandria database: a relaxed BeZn2Br crystal (PBE-GGA).

Calculated values
D(E_F)   1.12 states/eV/cell
Formation energy without anion corrections   0.457 eV/atom
Calculated total energy   -6.12 eV per formula unit
Relative energy among the computed polymorphs   0.533 eV per atom
Crystal system   tetragonal
Total magnetic moment   0.00 Bohr magnetons per cell

a = 6.3048 Å, b = 6.3048 Å, c = 6.3048 Å
α = 146.51°, β = 146.51°, γ = 48.08°
Last column: nearest neighbours and their distance in Å.
Fractional positions:
Br 0.7500 0.2500 0.5000  4 Be 2.57
Be 0.2500 0.7500 0.5000  4 Br 2.57
Zn 0.5000 0.5000 0.0000  4 Zn 2.57
Zn 0.0000 0.0000 0.0000  4 Zn 2.57